Record 1
# CdPt2, optimized geometry, DFT PBE
# Total DFT energy (no corrections) ... -53.42 eV for the cell shown
# Energy of formation from the pure elements ... -119 meV per atom
data_CdPt2
_symmetry_space_group_name_H-M 'C m c m'
_symmetry_Int_Tables_number 63
_symmetry_space_group_name_Hall '-C 2c 2'
_cell_length_a 2.852
_cell_length_b 14.775
_cell_length_c 4.811
_cell_angle_alpha 90.00
_cell_angle_beta 90.00
_cell_angle_gamma 90.00
loop_
_atom_site_label
_atom_site_type_symbol
_atom_site_fract_x
_atom_site_fract_y
_atom_site_fract_z
Cd1 Cd 0.000 0.216 0.250
Pt1 Pt 0.000 0.113 0.750
Pt2 Pt 0.000 0.449 0.750



Record 2
# CdPt3, optimized geometry, DFT PBE
# Total DFT energy (no corrections) ... -19.36 eV for the cell shown
# Energy of formation from the pure elements ... -80 meV per atom
data_CdPt3
_symmetry_space_group_name_H-M 'P 4/m m m'
_symmetry_Int_Tables_number 123
_symmetry_space_group_name_Hall '-P 4 2'
_cell_length_a 3.425
_cell_length_b 3.425
_cell_length_c 5.750
_cell_angle_alpha 90.00
_cell_angle_beta 90.00
_cell_angle_gamma 90.00
loop_
_atom_site_label
_atom_site_type_symbol
_atom_site_fract_x
_atom_site_fract_y
_atom_site_fract_z
Cd1 Cd 0.000 0.000 0.000
Pt1 Pt 0.000 0.000 0.500
Pt2 Pt 0.500 0.500 0.264



Record 3
# CdPt3, optimized geometry, DFT PBE
# Total DFT energy (no corrections) ... -19.65 eV for the cell shown
# Energy of formation from the pure elements ... -154 meV per atom
data_CdPt3
_symmetry_space_group_name_H-M 'P 4/m m m'
_symmetry_Int_Tables_number 123
_symmetry_space_group_name_Hall '-P 4 2'
_cell_length_a 2.842
_cell_length_b 2.842
_cell_length_c 8.173
_cell_angle_alpha 90.00
_cell_angle_beta 90.00
_cell_angle_gamma 90.00
loop_
_atom_site_label
_atom_site_type_symbol
_atom_site_fract_x
_atom_site_fract_y
_atom_site_fract_z
Cd1 Cd 0.000 0.000 0.000
Pt1 Pt 0.000 0.000 0.500
Pt2 Pt 0.500 0.500 0.256



Record 4
# CdPt3, optimized geometry, DFT PBE
# Total DFT energy (no corrections) ... -78.50 eV for the cell shown
# Energy of formation from the pure elements ... -147 meV per atom
data_CdPt3
_symmetry_space_group_name_H-M 'C m c m'
_symmetry_Int_Tables_number 63
_symmetry_space_group_name_Hall '-C 2c 2'
_cell_length_a 5.732
_cell_length_b 9.817
_cell_length_c 4.711
_cell_angle_alpha 90.00
_cell_angle_beta 90.00
_cell_angle_gamma 90.00
loop_
_atom_site_label
_atom_site_type_symbol
_atom_site_fract_x
_atom_site_fract_y
_atom_site_fract_z
Cd1 Cd 0.000 0.086 0.250
Pt1 Pt 0.000 0.416 0.750
Pt2 Pt 0.241 0.334 0.250